## GdYZnGa (PBE)

Data for an optimized crystal structure of GdYZnGa.

Properties
As for the crystal system: cubic. As for the space group: F-43m, No. 216. The calculation puts the formation energy at -0.491 eV per atom.

Cell: 5.088 5.088 5.088 Å, 60.00 60.00 60.00°
Last column: magnetic moment on the atom in μB.
Positions (direct):
Zn (0.500, 0.500, 0.500)  0.02
Gd (0.250, 0.250, 0.250)  7.13
Y (0.750, 0.750, 0.750)  0.13
Ga (0.000, 0.000, 0.000)  -0.03